# PBE PmPaCo2, optimized geometry
# **Total moment**: 0.00 μB per cell
data_PmPaCo2
_cell_length_a 3.6820
_cell_length_b 3.6820
_cell_length_c 20.9821
_cell_angle_alpha 90.00
_cell_angle_beta 90.00
_cell_angle_gamma 120.00
_space_group_name_H-M_alt 'R 3 m'
_space_group_IT_number 160
_space_group_name_Hall 'R 3 -2"'
loop_
_atom_site_label
_atom_site_type_symbol
_atom_site_fract_x
_atom_site_fract_y
_atom_site_fract_z
Pm1 Pm 0.0000 0.0000 0.0000
Pa1 Pa 0.0000 0.0000 0.1718
Co1 Co 0.0000 0.0000 0.5757
Co2 Co 0.0000 0.0000 0.7647

***

# PBE HfBMo, optimized geometry
# **Total moment**: 0.00 μB per cell
data_HfBMo
_cell_length_a 9.460
_cell_length_b 3.342
_cell_length_c 6.514
_cell_angle_alpha 90.00
_cell_angle_beta 125.08
_cell_angle_gamma 90.00
_space_group_name_H-M_alt 'C 1 2/m 1'
_space_group_IT_number 12
_space_group_name_Hall '-C 2y'
loop_
_atom_site_label
_atom_site_type_symbol
_atom_site_fract_x
_atom_site_fract_y
_atom_site_fract_z
Hf1 Hf 0.084 0.000 0.336
B1 B 0.113 0.500 0.647
Mo1 Mo 0.193 0.500 0.089

***

# PBE LiCa3Au2, optimized geometry
# **Total moment**: 0.00 μB per cell
data_LiCa3Au2
_cell_length_a 6.201
_cell_length_b 15.958
_cell_length_c 6.386
_cell_angle_alpha 90.00
_cell_angle_beta 90.00
_cell_angle_gamma 90.00
_space_group_name_H-M_alt 'I b a m'
_space_group_IT_number 72
_space_group_name_Hall '-I 2 2c'
loop_
_atom_site_label
_atom_site_type_symbol
_atom_site_fract_x
_atom_site_fract_y
_atom_site_fract_z
Li1 Li 0.000 0.000 0.250
Ca1 Ca 0.000 0.500 0.250
Ca2 Ca 0.240 0.181 0.000
Au1 Au 0.242 0.124 0.500

***

# PBE TbNb2, optimized geometry
# **Total moment**: 0.00 μB per cell
data_TbNb2
_cell_length_a 3.508
_cell_length_b 3.508
_cell_length_c 10.961
_cell_angle_alpha 90.00
_cell_angle_beta 90.00
_cell_angle_gamma 90.00
_space_group_name_H-M_alt 'I 4/m m m'
_space_group_IT_number 139
_space_group_name_Hall '-I 4 2'
loop_
_atom_site_label
_atom_site_type_symbol
_atom_site_fract_x
_atom_site_fract_y
_atom_site_fract_z
Tb1 Tb 0.000 0.000 0.000
Nb1 Nb 0.000 0.000 0.305

***

# PBE Ca2Al2Bi, optimized geometry
# **Total moment**: 0.00 μB per cell
data_Ca2Al2Bi
_cell_length_a 4.904
_cell_length_b 4.904
_cell_length_c 12.566
_cell_angle_alpha 90.00
_cell_angle_beta 90.00
_cell_angle_gamma 90.00
_space_group_name_H-M_alt 'I 4/m m m'
_space_group_IT_number 139
_space_group_name_Hall '-I 4 2'
loop_
_atom_site_label
_atom_site_type_symbol
_atom_site_fract_x
_atom_site_fract_y
_atom_site_fract_z
Ca1 Ca 0.000 0.500 0.250
Al1 Al 0.000 0.000 0.096
Bi1 Bi 0.000 0.000 0.500

***

# PBE SrPmAlIn, optimized geometry
# **Total moment**: 0.00 μB per cell
data_SrPmAlIn
_cell_length_a 7.772
_cell_length_b 7.772
_cell_length_c 7.772
_cell_angle_alpha 90.00
_cell_angle_beta 90.00
_cell_angle_gamma 90.00
_space_group_name_H-M_alt 'F -4 3 m'
_space_group_IT_number 216
_space_group_name_Hall 'F -4 2 3'
loop_
_atom_site_label
_atom_site_type_symbol
_atom_site_fract_x
_atom_site_fract_y
_atom_site_fract_z
Sr1 Sr 0.000 0.000 0.000
Pm1 Pm 0.000 0.000 0.500
Al1 Al 0.250 0.250 0.250
In1 In 0.250 0.250 0.750

***

Number 1: ΔH_f (0 K) -0.110 eV per atom. Number 2: ΔH_f (0 K) -0.518 eV per atom. Number 3: ΔH_f (0 K) -0.564 eV per atom. Number 4: ΔH_f (0 K) 0.172 eV per atom. Number 5: ΔH_f (0 K) 0.077 eV per atom. Number 6: ΔH_f (0 K) -0.279 eV per atom.